Entry 1:
First-principles (GGA+U) data for an optimized crystal structure of LiVFeO4, as listed in Alexandria.

Lattice parameters (Å, degrees): 5.9465 5.9465 8.3735 90.00 90.00 90.00
Fractional positions:
Li 0.5000 0.7331 0.0000
Li 0.5000 0.2669 0.5000
Li 0.7331 0.5000 0.2500
Li 0.2669 0.5000 0.7500
Fe 0.7552 0.7552 0.6250
Fe 0.2448 0.2448 0.1250
Fe 0.2448 0.7552 0.3750
Fe 0.7552 0.2448 0.8750
O 0.4838 0.2310 0.7577
O 0.0134 0.2312 0.7356
O 0.7690 0.4838 0.5077
O 0.9866 0.2312 0.2644
O 0.2310 0.5162 0.0077
O 0.7688 0.9866 0.0144
O 0.5162 0.2310 0.2423
O 0.7688 0.0134 0.4856
O 0.2312 0.0134 0.5144
O 0.9866 0.7688 0.2356
O 0.4838 0.7690 0.7423
O 0.0134 0.7688 0.7644
O 0.5162 0.7690 0.2577
O 0.2310 0.4838 0.4923
O 0.2312 0.9866 0.9856
O 0.7690 0.5162 0.9923
V 0.0000 0.7320 0.0000
V 0.7320 0.0000 0.2500
V 0.2680 0.0000 0.7500
V 0.0000 0.2680 0.5000

Computed properties:
- ΔE to the lowest computed polymorph: 41 meV per atom
- Energy: -6.8145 eV per atom
- Total magnetization: 6.00 μB/f.u.
- Space-group type: P4_322



Entry 2:
First-principles (GGA+U) data for an optimized crystal structure of LiV2FeO6, as listed in Alexandria.

Lattice parameters (Å, degrees): 6.9254 6.9254 5.6063 71.61 71.61 73.86
Fractional positions:
O 0.3891 0.3030 0.9657
O 0.8017 0.0165 0.6460
O 0.0165 0.8017 0.1460
O 0.1983 0.9835 0.3540
O 0.9835 0.1983 0.8540
O 0.3585 0.9664 0.7079
O 0.6109 0.6970 0.0343
O 0.0336 0.6415 0.7921
O 0.6415 0.0336 0.2921
O 0.6970 0.6109 0.5343
O 0.3030 0.3891 0.4657
O 0.9664 0.3585 0.2079
Li 0.3013 0.6987 0.2500
Li 0.6987 0.3013 0.7500
V 0.8334 0.6352 0.1640
V 0.3648 0.1666 0.3360
V 0.6352 0.8334 0.6640
V 0.1666 0.3648 0.8360
Fe 0.9242 0.0758 0.2500
Fe 0.0758 0.9242 0.7500

Computed properties:
- Energy: -7.0705 eV per atom
- Total magnetization: 7.00 μB/f.u.
- Space-group type: C2/c